(1)
Below is a geometry-optimized NaTl2OsCl6 structure, with properties calculated at the PBE level.

a b c (Å): 7.1485 7.1485 7.1485
angles (deg): 60.00 60.00 60.00
Last column: nearest neighbours and their distance in Å.
Sites, in units of the cell vectors:
Na 0.0000 0.0000 0.0000  6 Cl 2.69
Tl 0.2500 0.2500 0.2500  12 Cl 3.58
Tl 0.7500 0.7500 0.7500  12 Cl 3.58
Os 0.5000 0.5000 0.5000  6 Cl 2.36
Cl 0.2661 0.2661 0.7339  1 Os 2.36
Cl 0.2661 0.7339 0.2661  1 Os 2.36
Cl 0.2661 0.7339 0.7339  1 Os 2.36
Cl 0.7339 0.2661 0.2661  1 Os 2.36
Cl 0.7339 0.2661 0.7339  1 Os 2.36
Cl 0.7339 0.7339 0.2661  1 Os 2.36

Summary:
uncorrected energy: -3.69 eV per atom
theoretical density: 5.37 g/cm³

***

(2)
Below is a geometry-optimized RbDyZnS3 structure, with properties calculated at the PBE level.

a b c (Å): 8.9748 8.9748 8.5870
angles (deg): 101.44 101.44 26.27
Last column: nearest neighbours and their distance in Å.
Sites, in units of the cell vectors:
Rb 0.1479 0.1479 0.0660  7 S 3.22-3.40
Rb 0.8521 0.8521 0.9340  7 S 3.22-3.40
Dy 0.1660 0.1660 0.5658  6 S 2.71-2.84
Dy 0.8340 0.8340 0.4342  6 S 2.71-2.84
Zn 0.4769 0.4769 0.2618  2 S 2.31-2.36
Zn 0.5231 0.5231 0.7382  2 S 2.31-2.36
S 0.0000 0.0000 0.5000  2 Dy 2.84, 4 Zn 2.86
S 0.3252 0.3252 0.6375  3 Dy 2.71-2.72
S 0.3425 0.3425 0.2266  1 Zn 2.31
S 0.5000 0.5000 0.0000  2 Zn 2.36
S 0.6575 0.6575 0.7734  1 Zn 2.31
S 0.6748 0.6748 0.3625  3 Dy 2.71-2.72

Summary:
uncorrected energy: -4.52 eV per atom
theoretical density: 4.54 g/cm³

***

(3)
Below is a geometry-optimized CdReAg structure, with properties calculated at the PBE level.

a b c (Å): 4.4263 4.4263 4.4263
angles (deg): 60.00 60.00 60.00
Last column: nearest neighbours and their distance in Å.
Sites, in units of the cell vectors:
Cd 0.0000 0.0000 0.0000  4 Ag 2.71
Re 0.5000 0.5000 0.5000  4 Ag 2.71
Ag 0.2500 0.2500 0.2500  4 Cd 2.71, 4 Re 2.71

Summary:
energy relative to the elements: 1368 meV per atom
theoretical density: 11.01 g/cm³

***

(4)
Below is a geometry-optimized ScNbZn2 structure, with properties calculated at the PBE level.

a b c (Å): 4.6492 4.6492 4.6492
angles (deg): 60.00 60.00 60.00
Last column: nearest neighbours and their distance in Å.
Sites, in units of the cell vectors:
Sc 0.0000 0.0000 0.0000  4 Zn 2.85, 4 Nb 2.85
Nb 0.2500 0.2500 0.2500  4 Zn 2.85, 4 Sc 2.85
Zn 0.5000 0.5000 0.5000  4 Zn 2.85, 4 Nb 2.85
Zn 0.7500 0.7500 0.7500  4 Zn 2.85, 4 Sc 2.85

Summary:
energy relative to the elements: 232 meV per atom
theoretical density: 6.28 g/cm³